A relaxed structure of MgNpAl6. Source: Alexandria via LeMat-Bulk, functional PBE-GGA.

Geometry as POSCAR:
```
MgNpAl6
1.0
4.514 0.000 0.000
0.000 3.578 4.659
0.000 -3.578 4.659
Mg Np Al
1 1 6
Cartesian
0.000 0.000 0.000
0.000 0.000 3.918
0.000 -1.441 6.592
0.000 1.441 6.592
2.257 -2.084 3.775
2.257 0.000 1.822
2.257 0.000 5.870
2.257 2.084 3.775
```

Summary:
As for the space group: Amm2 (38). The calculation puts the energy relative to the elements at -0.0013 eV per atom. Its density of states at the Fermi level is 10.05 states/eV/cell.